First-principles (PBE) data for a relaxed structure of KCo2Ru, as listed in Alexandria.

Output
Final energy = -43.1 eV/cell
Size of the total moment = 2.7 μB per formula unit
Volume = 18.966 Å³/atom
DOS(E_F) = 12.56 states/eV/cell

CIF file:
```
data_KCo2Ru
_symmetry_space_group_name_H-M 'C 1 2/m 1'
_symmetry_Int_Tables_number 12
_symmetry_space_group_name_Hall '-C 2y'
_cell_length_a 8.337
_cell_length_b 2.684
_cell_length_c 6.800
_cell_angle_alpha 90.00
_cell_angle_beta 94.45
_cell_angle_gamma 90.00
loop_
_atom_site_label
_atom_site_fract_x
_atom_site_fract_y
_atom_site_fract_z
K1 0.000 0.000 0.000
Co1 0.232 0.000 0.638
Ru1 0.000 0.500 0.500
```


First-principles (PBE) data for a relaxed structure of K3UF6, as listed in Alexandria.

Output
Size of the total moment = 2.5 μB per formula unit
Volume = 25.257 Å³/atom
DOS(E_F) = 19.64 states/eV/cell
Formation energy from raw total energies = -2.945 eV/atom

CIF file:
```
data_K3UF6
_symmetry_space_group_name_H-M 'I 4/m m m'
_symmetry_Int_Tables_number 139
_symmetry_space_group_name_Hall '-I 4 2'
_cell_length_a 7.328
_cell_length_b 7.328
_cell_length_c 9.407
_cell_angle_alpha 90.00
_cell_angle_beta 90.00
_cell_angle_gamma 90.00
loop_
_atom_site_label
_atom_site_fract_x
_atom_site_fract_y
_atom_site_fract_z
K1 0.000 0.000 0.000
K2 0.000 0.500 0.250
U1 0.000 0.000 0.500
F1 0.000 0.000 0.259
F2 0.000 0.306 0.500
```


First-principles (PBE) data for a relaxed structure of Ba2SnPb, as listed in Alexandria.

Output
Final energy = -28.3 eV/cell
Size of the total moment = 0.0 μB per formula unit
Volume = 41.425 Å³/atom
DOS(E_F) = 2.38 states/eV/cell

CIF file:
```
data_Ba2SnPb
_symmetry_space_group_name_H-M 'P 1 21/m 1'
_symmetry_Int_Tables_number 11
_symmetry_space_group_name_Hall '-P 2yb'
_cell_length_a 6.953
_cell_length_b 4.811
_cell_length_c 10.292
_cell_angle_alpha 90.00
_cell_angle_beta 105.74
_cell_angle_gamma 90.00
loop_
_atom_site_label
_atom_site_fract_x
_atom_site_fract_y
_atom_site_fract_z
Ba1 0.196 0.250 0.430
Ba2 0.293 0.750 0.064
Sn1 0.141 0.250 0.787
Pb1 0.368 0.750 0.711
```